Entry 1:
Compound: Li3Tl3HgCl8
Source: the Alexandria database
Functional: PBE
Structure: relaxed

abc: 7.847 7.847 8.638
angles: 117.01 117.01 59.93
Fractional positions:
Li  0.000  0.000  0.000
Li  0.000  0.500  0.000
Li  0.500  0.000  0.000
Tl  0.000  0.500  0.500
Tl  0.500  0.000  0.500
Tl  0.500  0.500  0.500
Hg  0.500  0.500  0.000
Cl  0.224  0.736  0.195
Cl  0.231  0.231  0.191
Cl  0.264  0.264  0.805
Cl  0.264  0.776  0.805
Cl  0.736  0.224  0.195
Cl  0.736  0.736  0.195
Cl  0.769  0.769  0.809
Cl  0.776  0.264  0.805

## Properties
**SG**: C2/m
**Energy relative to the elements, uncorrected**: -1207 meV per atom

Entry 2:
Compound: LiVHgCl6
Source: the Alexandria database
Functional: PBE
Structure: relaxed

abc: 6.344 6.344 5.847
angles: 90.00 90.00 120.00
Fractional positions:
Li  0.000  0.000  0.000
V  0.667  0.333  0.000
Hg  0.333  0.667  0.500
Cl  0.350  0.034  0.767
Cl  0.350  0.316  0.233
Cl  0.684  0.034  0.233
Cl  0.684  0.650  0.767
Cl  0.966  0.316  0.767
Cl  0.966  0.650  0.233

## Properties
**SG**: P312
**Energy relative to the elements, uncorrected**: -1087 meV per atom

Entry 3:
Compound: Li2ZnHgCl6
Source: the Alexandria database
Functional: PBE
Structure: relaxed

abc: 6.976 6.976 6.976
angles: 55.48 55.48 55.48
Fractional positions:
Li  0.000  0.000  0.000
Li  0.490  0.490  0.490
Zn  0.696  0.696  0.696
Hg  0.204  0.204  0.204
Cl  0.078  0.413  0.769
Cl  0.282  0.879  0.614
Cl  0.413  0.769  0.078
Cl  0.614  0.282  0.879
Cl  0.769  0.078  0.413
Cl  0.879  0.614  0.282

## Properties
**SG**: R3
**Energy relative to the elements, uncorrected**: -1181 meV per atom

Entry 4:
Compound: LiZrHg2Cl
Source: the Alexandria database
Functional: PBE
Structure: relaxed

abc: 5.849 5.849 3.894
angles: 90.00 90.00 90.00
Fractional positions:
Li  0.000  0.000  0.000
Zr  0.500  0.500  0.000
Hg  0.000  0.500  0.500
Hg  0.500  0.000  0.500
Cl  0.000  0.000  0.500

## Properties
**SG**: P4/mmm
**Energy relative to the elements, uncorrected**: 127 meV per atom

Entry 5:
Compound: LuHgCl3
Source: the Alexandria database
Functional: PBE
Structure: relaxed

abc: 5.226 5.226 5.226
angles: 90.00 90.00 90.00
Fractional positions:
Lu  0.000  0.000  0.000
Hg  0.500  0.500  0.500
Cl  0.000  0.000  0.500
Cl  0.000  0.500  0.000
Cl  0.500  0.000  0.000

## Properties
**SG**: Pm-3m
**Energy relative to the elements, uncorrected**: -1673 meV per atom

Entry 6:
Compound: MgHgCl2
Source: the Alexandria database
Functional: PBE
Structure: relaxed

abc: 3.256 3.256 10.063
angles: 90.00 90.00 90.00
Fractional positions:
Mg  0.000  0.000  0.000
Hg  0.000  0.000  0.500
Cl  0.500  0.500  0.149
Cl  0.500  0.500  0.851

## Properties
**SG**: P4/mmm
**Polymorph energy (0 for the lowest one)**: 333.7 meV/atom
**Energy relative to the elements, uncorrected**: -1042 meV per atom

no.,DOS at the Fermi energy (states/eV per atom)
1,0.00
2,0.80
3,0.00
4,0.98
5,0.00
6,0.10